DFT (PBE with a Hubbard U) results for an optimized crystal structure of NaTmMnO3.

Unit cell a=3.4890 b=14.5555 c=8.8268 alpha=90.00 beta=90.00 gamma=90.00
Last column: nearest neighbours and their distance in Å.
Space group Cmcm (No. 63)
One atom of each set of equivalent atoms:
Na: 0.0000 0.1286 0.2500 (multiplicity 4)  4 O 2.47
Tm: 0.0000 0.5000 0.0000 (multiplicity 4)  6 O 2.21-2.27
Mn: 0.0000 0.0950 0.7500 (multiplicity 4)  2 O 1.98
O: 0.0000 0.0985 0.5255 (multiplicity 8)  1 Mn 1.98
O: 0.0000 0.4914 0.7500 (multiplicity 4)  2 Tm 2.21, 2 Mn 2.31, 2 Na 2.47

Properties
energy = -41.56 eV per formula unit